Density functional theory data (PBE) for a geometry-optimized Tb4SmEr10 structure.

a b c (Å): 7.641 9.363 9.363
angles (deg): 80.41 65.92 65.92
Element x y z (fractional)
Er1 0.250 0.500 0.500
Er2 0.750 0.500 0.500
Er3 0.849 0.699 0.101
Er4 0.649 0.301 0.899
Er5 0.151 0.301 0.899
Er6 0.050 0.101 0.301
Tb1 0.400 0.800 0.400
Tb2 0.800 0.600 0.800
Tb3 0.200 0.400 0.200
Er7 0.548 0.101 0.301
Sm1 0.000 0.000 0.000
Tb4 0.600 0.200 0.600
Er8 0.452 0.899 0.699
Er9 0.950 0.899 0.699
Er10 0.351 0.699 0.101

Calculated values
Magnetization (μB/cell): 0.000
Calculated formation energy (eV per atom): 0.74
Fermi-level density of states (states/eV/cell): 17.98
SG: I4/m